Material: TcHg2
Method: DFT, GGA-PBE
State: optimized geometry

Cell and atoms, written as POSCAR:
```
TcHg2
1.0
0.0000 5.9754 5.9754
5.9754 0.0000 5.9754
5.9754 5.9754 0.0000
Tc Hg
2 4
direct
0.1250 0.1250 0.1250
0.8750 0.8750 0.8750
0.0000 0.0000 0.0000
0.0000 0.0000 0.5000
0.0000 0.5000 0.0000
0.5000 0.0000 0.0000
```

Summary:
The value obtained for the energy above the lowest structure with this stoichiometry is 471 meV per atom. For the formation energy, the calculation gives 1.547 eV/atom.

=====

Material: Tc2Hg
Method: DFT, GGA-PBE
State: optimized geometry

Cell and atoms, written as POSCAR:
```
Tc2Hg
1.0
0.0000 6.0946 6.0946
6.0946 0.0000 6.0946
6.0946 6.0946 0.0000
Tc Hg
4 2
direct
0.0000 0.0000 0.0000
0.0000 0.0000 0.5000
0.0000 0.5000 0.0000
0.5000 0.0000 0.0000
0.1250 0.1250 0.1250
0.8750 0.8750 0.8750
```

Summary:
The value obtained for the energy above the lowest structure with this stoichiometry is 2813 meV per atom. For the formation energy, the calculation gives 3.480 eV/atom.

=====

Material: TcHg2
Method: DFT, GGA-PBE
State: optimized geometry

Cell and atoms, written as POSCAR:
```
TcHg2
1.0
0.0000 3.9046 3.9046
3.9046 0.0000 3.9046
3.9046 3.9046 0.0000
Tc Hg
2 4
direct
0.1250 0.1250 0.1250
0.8750 0.8750 0.8750
0.0000 0.5000 0.5000
0.5000 0.0000 0.5000
0.5000 0.5000 0.0000
0.5000 0.5000 0.5000
```

Summary:
The value obtained for the energy above the lowest structure with this stoichiometry is 0 meV per atom. For the formation energy, the calculation gives 1.076 eV/atom.

=====

Material: Tc2Hg
Method: DFT, GGA-PBE
State: optimized geometry

Cell and atoms, written as POSCAR:
```
Tc2Hg
1.0
0.0000 3.7078 3.7078
3.7078 0.0000 3.7078
3.7078 3.7078 0.0000
Tc Hg
4 2
direct
0.0000 0.0000 0.0000
0.0000 0.0000 0.5000
0.0000 0.5000 0.0000
0.5000 0.0000 0.0000
0.3750 0.3750 0.3750
0.6250 0.6250 0.6250
```

Summary:
The value obtained for the energy above the lowest structure with this stoichiometry is 0 meV per atom. For the formation energy, the calculation gives 0.667 eV/atom.

=====

Material: ThTcHg
Method: DFT, GGA-PBE
State: optimized geometry

Cell and atoms, written as POSCAR:
```
ThTcHg
1.0
0.0000 3.4350 3.4350
3.4350 0.0000 3.4350
3.4350 3.4350 0.0000
Th Tc Hg
1 1 1
direct
0.0000 0.0000 0.0000
0.2500 0.2500 0.2500
0.7500 0.7500 0.7500
```

Summary:
The value obtained for the energy above the lowest structure with this stoichiometry is 206 meV per atom. For the formation energy, the calculation gives 0.844 eV/atom.

=====

Material: ThTcHg
Method: DFT, GGA-PBE
State: optimized geometry

Cell and atoms, written as POSCAR:
```
ThTcHg
1.0
0.0000 3.3946 3.3946
3.3946 0.0000 3.3946
3.3946 3.3946 0.0000
Th Tc Hg
1 1 1
direct
0.0000 0.0000 0.0000
0.5000 0.5000 0.5000
0.7500 0.7500 0.7500
```

Summary:
The value obtained for the energy above the lowest structure with this stoichiometry is 0 meV per atom. For the formation energy, the calculation gives 0.638 eV/atom.

=====

Material: Th5Tc2Hg2
Method: DFT, GGA-PBE
State: optimized geometry

Cell and atoms, written as POSCAR:
```
Th5Tc2Hg2
1.0
8.0906 -3.9069 0.0000
8.0906 3.9069 0.0000
0.0000 0.0000 7.9421
Th Tc Hg
10 4 4
direct
0.0000 0.0000 0.0000
0.0459 0.7204 0.6631
0.2204 0.5459 0.1631
0.2796 0.9541 0.6631
0.4541 0.7796 0.1631
0.5000 0.5000 0.5000
0.5459 0.2204 0.8369
0.7204 0.0459 0.3369
0.7796 0.4541 0.8369
0.9541 0.2796 0.3369
0.1397 0.8603 0.3618
0.3603 0.6397 0.8618
0.6397 0.3603 0.1382
0.8603 0.1397 0.6382
0.2153 0.2153 0.0000
0.2847 0.2847 0.5000
0.7153 0.7153 0.5000
0.7847 0.7847 0.0000
```

Summary:
For the formation energy, the calculation gives -0.222 eV/atom.

=====

Material: TlTc2Hg2
Method: DFT, GGA-PBE
State: optimized geometry

Cell and atoms, written as POSCAR:
```
TlTc2Hg2
1.0
2.9336 0.0000 0.0000
-1.4596 5.2288 0.0000
-0.0027 -0.3786 7.0406
Tl Tc Hg
1 2 2
direct
0.0000 0.0000 0.0000
0.4654 0.9309 0.3491
0.5346 0.0691 0.6509
0.2684 0.5377 0.7067
0.7316 0.4623 0.2933
```

Summary:
The value obtained for the final energy is -20.9 eV per cell.

=====

Material: TlTc2Hg
Method: DFT, GGA-PBE
State: optimized geometry

Cell and atoms, written as POSCAR:
```
TlTc2Hg
1.0
0.0000 3.2992 3.2992
3.2992 0.0000 3.2992
3.2992 3.2992 0.0000
Tl Tc Hg
1 2 1
direct
0.0000 0.0000 0.0000
0.5000 0.5000 0.5000
0.7500 0.7500 0.7500
0.2500 0.2500 0.2500
```

Summary:
The value obtained for the final energy is -19.8 eV per cell.

=====

Material: UTcHg
Method: DFT, GGA-PBE
State: optimized geometry

Cell and atoms, written as POSCAR:
```
UTcHg
1.0
0.0000 3.2853 3.2853
3.2853 0.0000 3.2853
3.2853 3.2853 0.0000
U Tc Hg
1 1 1
direct
0.0000 0.0000 0.0000
0.5000 0.5000 0.5000
0.7500 0.7500 0.7500
```

Summary:
The value obtained for the energy above the lowest structure with this stoichiometry is 59 meV per atom. For the formation energy, the calculation gives 1.100 eV/atom.

=====

Material: UTcHg
Method: DFT, GGA-PBE
State: optimized geometry

Cell and atoms, written as POSCAR:
```
UTcHg
1.0
0.0000 3.3086 3.3086
3.3086 0.0000 3.3086
3.3086 3.3086 0.0000
U Tc Hg
1 1 1
direct
0.0000 0.0000 0.0000
0.2500 0.2500 0.2500
0.7500 0.7500 0.7500
```

Summary:
The value obtained for the energy above the lowest structure with this stoichiometry is 0 meV per atom. For the formation energy, the calculation gives 1.040 eV/atom.

=====

Material: TcHgW
Method: DFT, GGA-PBE
State: optimized geometry

Cell and atoms, written as POSCAR:
```
TcHgW
1.0
0.0000 3.0967 3.0967
3.0967 0.0000 3.0967
3.0967 3.0967 0.0000
Tc Hg W
1 1 1
direct
0.0000 0.0000 0.0000
0.2500 0.2500 0.2500
0.7500 0.7500 0.7500
```

Summary:
The value obtained for the energy above the lowest structure with this stoichiometry is 0 meV per atom. For the formation energy, the calculation gives 1.026 eV/atom.

=====

M_tot, respectively: 2.05; 16.68; 3.81; 0.01; 0.39; 0.01; 0.03; 0.04; 0.01; 1.31; 1.11; 0.00 μB per cell.